The following is a DFT calculation (PBE-GGA) of an optimized crystal structure of KBiPt3.

abc: 5.207 5.207 5.207
angles: 90.00 90.00 90.00
Element x y z (fractional)
K (0.500, 0.500, 0.500)
Bi (0.000, 0.000, 0.000)
Pt (0.000, 0.500, 0.000)
Pt (0.000, 0.000, 0.500)
Pt (0.500, 0.000, 0.000)

Values from the calculation:
Density   9.80 g/cm³
E_tot   -4.07 eV/atom
Symmetry   Pm-3m, No. 221
E_form   0.55 eV per atom
Energy above the most stable polymorph in this dataset   0.00 eV per formula unit

---

The following is a DFT calculation (PBE-GGA) of an optimized crystal structure of LaSb2W.

abc: 4.527 3.308 6.586
angles: 81.56 90.00 90.00
Element x y z (fractional)
La (0.500, 0.750, 0.750)
Sb (0.000, 0.095, 0.028)
Sb (0.000, 0.405, 0.472)
W (0.500, 0.250, 0.250)

Values from the calculation:
Density   9.64 g/cm³
E_tot   -6.45 eV/atom
Symmetry   P2/m, No. 10
Uncorrected formation energy   0.082 eV/atom
Energy above the most stable polymorph in this dataset   0.97 eV per formula unit

---

The following is a DFT calculation (PBE-GGA) of an optimized crystal structure of BaTlNi3.

abc: 4.933 4.933 4.933
angles: 90.00 90.00 90.00
Each line ends with the local moment (μB).
Element x y z (fractional)
Ni (0.000, 0.500, 0.000)  0.26
Ni (0.000, 0.000, 0.500)  0.16
Ni (0.500, 0.000, 0.000)  0.41
Tl (0.000, 0.000, 0.000)  -0.01
Ba (0.500, 0.500, 0.500)  -0.01

Values from the calculation:
Density   7.16 g/cm³
E_tot   -3.72 eV/atom
Symmetry   Pm-3m, No. 221
E_form   0.61 eV per atom
Energy above the most stable polymorph in this dataset   0.00 eV per formula unit

---

The following is a DFT calculation (PBE-GGA) of an optimized crystal structure of Nd8Ho6Pb.

abc: 6.610 9.352 9.352
angles: 120.00 90.00 90.00
Element x y z (fractional)
Nd (0.823, 0.042, 0.275)
Nd (0.823, 0.725, 0.767)
Nd (0.823, 0.233, 0.958)
Nd (0.177, 0.958, 0.725)
Nd (0.177, 0.275, 0.233)
Nd (0.177, 0.767, 0.042)
Nd (0.861, 0.333, 0.667)
Nd (0.139, 0.667, 0.333)
Ho (0.662, 0.651, 0.099)
Ho (0.662, 0.901, 0.553)
Ho (0.662, 0.447, 0.349)
Ho (0.338, 0.349, 0.901)
Ho (0.338, 0.099, 0.447)
Ho (0.338, 0.553, 0.651)
Pb (0.500, 0.000, 0.000)

Values from the calculation:
Density   7.80 g/cm³
E_tot   -4.55 eV/atom
Symmetry   P-3, No. 147
E_form   0.07 eV per atom

---

The following is a DFT calculation (PBE-GGA) of an optimized crystal structure of ErTm3O.

abc: 4.858 4.858 4.858
angles: 90.00 90.00 90.00
Element x y z (fractional)
Tm (0.000, 0.500, 0.000)
Tm (0.000, 0.000, 0.500)
Tm (0.500, 0.000, 0.000)
O (0.000, 0.000, 0.000)
Er (0.500, 0.500, 0.500)

Values from the calculation:
Density   9.99 g/cm³
E_tot   -5.68 eV/atom
Symmetry   Pm-3m, No. 221
Uncorrected formation energy   -1.096 eV/atom

---

The following is a DFT calculation (PBE-GGA) of an optimized crystal structure of Er3Ag3TeS8.

abc: 7.910 7.907 7.798
angles: 120.68 90.00 120.01
Element x y z (fractional)
Er (0.500, 0.000, 0.500)
Er (0.500, 0.500, 0.500)
Er (0.000, 0.500, 0.500)
Ag (0.000, 0.000, 0.000)
Ag (0.000, 0.500, 0.000)
Ag (0.500, 0.500, 0.000)
Te (0.000, 0.000, 0.500)
S (0.255, 0.510, 0.266)
S (0.745, 0.490, 0.734)
S (0.759, 0.518, 0.267)
S (0.241, 0.482, 0.733)
S (0.759, 0.006, 0.266)
S (0.241, 0.994, 0.734)
S (0.247, 0.006, 0.266)
S (0.753, 0.994, 0.734)

Values from the calculation:
Density   5.89 g/cm³
E_tot   -4.90 eV/atom
Symmetry   C2/m, No. 12
Uncorrected formation energy   -1.011 eV/atom

---

Q: E_tot of number 5 (ErTm3O)?
A: -5.68 eV/atom